VASP calculation (PBE) on crystalline Y2Ga9Pt3 at its relaxed geometry.

Its formation enthalpy at 0 K is -65 kJ per mole of atoms. The calculated total energy comes out at -4.836 eV/atom. The mass density comes out at 9.39 g cm⁻³. The value obtained for the calculated volume is 17.57 Å³ per atom. The magnetization comes out at 0.00 μB per formula unit.

The space group is C2/c (No. 15) and the conventional cell measures 13.3308, 7.7259 and 10.5207 Å, with angles of 90.00, 114.78 and 90.00 degrees. The asymmetric unit holds Y at (0.1680, 0.0843, 0.2509), Ga at (0.0000, 0.3756, 0.2500), Ga at (0.0571, 0.0808, 0.9209), Ga at (0.1020, 0.3159, 0.7495), Ga at (0.1079, 0.4147, 0.0713), Ga at (0.2241, 0.4166, 0.4203), Pt at (0.0855, 0.2465, 0.5016) and Pt at (0.2500, 0.2500, 0.0000).